VASP calculation (PBE) on a geometry-optimized BeSnAu2 structure.

Structure (POSCAR):
```
BeSnAu2
1.0
2.014 1.163 5.369
-2.014 1.163 5.369
0.000 -2.325 5.369
Be Sn Au
1 1 2
direct
0.000 0.000 0.000
0.826 0.826 0.826
0.385 0.385 0.385
0.606 0.606 0.606
```

E_tot   -3.5996 eV per atom
V   75.42 Å³ per cell
Excess energy over the best structure of this formula in the dataset   15 meV/atom
Formation enthalpy at 0 K   -29 meV/atom

***

VASP calculation (PBE) on a geometry-optimized SrNd2OsO8 structure.

Structure (POSCAR):
```
SrNd2OsO8
1.0
5.221 0.000 0.000
0.000 7.180 0.000
-0.078 0.000 5.232
Sr Nd Os O
1 2 1 8
direct
0.000 0.000 0.000
0.500 0.245 0.500
0.500 0.755 0.500
0.000 0.500 0.000
0.180 0.313 0.178
0.180 0.687 0.178
0.252 0.500 0.747
0.317 0.000 0.682
0.683 0.000 0.318
0.748 0.500 0.253
0.820 0.313 0.822
0.820 0.687 0.822
```

Formation energy without anion corrections   -2224 meV per atom
E_tot   -7.3998 eV per atom
V   196.13 Å³ per cell

***

VASP calculation (PBE) on a geometry-optimized Tc2OsSe structure.

Structure (POSCAR):
```
Tc2OsSe
1.0
4.523 0.000 0.000
0.000 2.936 0.000
-0.420 0.000 4.515
Tc Os Se
2 1 1
direct
0.000 0.000 0.000
0.500 0.500 0.000
0.000 0.500 0.500
0.500 0.000 0.500
```

Formation energy without anion corrections   543 meV per atom
E_tot   -8.3187 eV per atom
V   59.98 Å³ per cell

***

Number 1: M_tot 0.00 μB/atom. Number 2: M_tot 0.00 μB/atom. Number 3: M_tot 0.00 μB/atom.